Entry 1:
{"formula": "Pr3NdZn12Ge6", "functional": "GGA-PBE", "state": "optimized geometry", "density_g_cm3": 7.05, "space_group": "Pm", "e_tot_ev_per_cell": -71.3, "lattice": [[-1.231, -1.803, -7.365], [2.650, -3.133, 0.324], [-9.956, -8.047, 3.634]], "species": ["Ge", "Zn", "Pr", "Zn", "Zn", "Zn", "Ge", "Pr", "Ge", "Pr", "Ge", "Zn", "Zn", "Zn", "Ge", "Ge", "Zn", "Zn", "Zn", "Zn", "Zn", "Nd"], "frac_coords": [[0.309, 0.500, 0.690], [0.405, 0.000, 0.594], [0.500, 0.000, 0.833], [0.145, 0.500, 0.145], [0.906, 0.000, 0.094], [0.906, 0.000, 0.906], [0.810, 0.500, 0.809], [0.500, 0.000, 0.167], [0.310, 0.500, 0.310], [0.000, 0.000, 0.333], [0.810, 0.500, 0.190], [0.645, 0.500, 0.355], [0.710, 0.500, 0.000], [0.189, 0.000, 0.000], [0.381, 0.500, 0.000], [0.881, 0.500, 0.500], [0.210, 0.500, 0.500], [0.645, 0.500, 0.645], [0.689, 0.000, 0.500], [0.145, 0.500, 0.855], [0.406, 0.000, 0.406], [0.000, 0.000, 0.667]]}

***

Entry 2:
{"formula": "PrNdZr2Ge2", "functional": "GGA-PBE", "state": "optimized geometry", "density_g_cm3": 6.80, "space_group": "P4mm", "e_tot_ev_per_cell": -39.8, "lattice": [[4.266, 0.000, 0.000], [0.000, 4.266, 0.000], [0.000, 0.000, 8.226]], "species": ["Ge", "Zr", "Pr", "Nd", "Ge", "Zr"], "frac_coords": [[0.000, 0.000, 0.247], [0.500, 0.000, 0.999], [0.500, 0.500, 0.351], [0.000, 0.000, 0.652], [0.500, 0.500, 0.752], [0.000, 0.500, 0.999]]}

***

Entry 3:
{"formula": "NdGePt", "functional": "GGA-PBE", "state": "optimized geometry", "density_g_cm3": 8.76, "space_group": "F-43m", "e_tot_ev_per_cell": -16.0, "lattice": [[0.000, 3.393, 3.393], [3.393, 0.000, 3.393], [3.393, 3.393, 0.000]], "species": ["Nd", "Ge", "Pt"], "frac_coords": [[0.000, 0.000, 0.000], [0.250, 0.250, 0.250], [0.750, 0.750, 0.750]]}